No. 1
Compound: CuNiTeAs2
Source: Alexandria
Functional: PBEsol
Structure: optimized geometry

Unit cell a=5.3013 b=5.3013 c=4.4836 alpha=90.00 beta=90.00 gamma=90.00
Space group P4/mmm (No. 123)
One atom of each set of equivalent atoms:
Cu (0.0000, 0.0000, 0.0000)
Ni (0.5000, 0.5000, 0.0000)
Te (0.5000, 0.5000, 0.5000)
As (0.0000, 0.5000, 0.5000)

Results
Spin magnetization   0.00 μB/f.u.
DOS(E_F)   5.31 states/eV/f.u.
Formation energy without anion corrections   1.33 eV per atom
Uncorrected energy   -3.51 eV per atom
Mass density   5.3 g cm⁻³


No. 2
Compound: Cu3AsO7
Source: Alexandria
Functional: PBEsol
Structure: optimized geometry

Unit cell a=5.2554 b=5.3674 c=5.3976 alpha=62.00 beta=83.44 gamma=83.54
Space group P1 (No. 1)
One atom of each set of equivalent atoms:
Cu (0.0000, 0.0000, 0.0000)
Cu (0.0005, 0.4949, 0.5024)
Cu (0.5064, 0.7666, 0.2751)
As (0.5014, 0.4496, 0.9414)
O (0.1772, 0.1596, 0.6654)
O (0.2194, 0.6760, 0.1795)
O (0.3413, 0.1636, 0.1681)
O (0.3411, 0.6732, 0.6533)
O (0.6947, 0.5976, 0.0701)
O (0.7616, 0.2931, 0.7941)
O (0.8139, 0.8394, 0.3447)

Results
Spin magnetization   0.06 μB/f.u.
DOS(E_F)   0.96 states/eV/f.u.
Formation energy without anion corrections   -0.58 eV per atom
Uncorrected energy   -5.56 eV per atom
Mass density   4.7 g cm⁻³


No. 3
Compound: CuAsPbO5
Source: Alexandria
Functional: PBEsol
Structure: optimized geometry

Unit cell a=5.9805 b=8.2533 c=8.7946 alpha=90.00 beta=90.00 gamma=90.00
Space group P2_12_12_1 (No. 19)
One atom of each set of equivalent atoms:
Cu (0.2420, 0.2387, 0.4932)
As (0.0166, 0.8769, 0.2917)
Pb (0.0485, 0.3779, 0.8362)
O (0.0032, 0.3533, 0.5646)
O (0.0176, 0.5508, 0.1085)
O (0.0692, 0.7222, 0.4160)
O (0.2360, 0.3507, 0.3063)
O (0.2469, 0.1173, 0.6749)

Results
Spin magnetization   0.00 μB/f.u.
DOS(E_F)   0.35 states/eV/f.u.
Formation energy without anion corrections   -0.97 eV per atom
Uncorrected energy   -5.93 eV per atom
Mass density   6.5 g cm⁻³


No. 4
Compound: Cu4As3PbO12
Source: Alexandria
Functional: PBEsol
Structure: optimized geometry

Unit cell a=5.2079 b=8.3285 c=11.3731 alpha=90.04 beta=90.03 gamma=93.78
Space group P-1 (No. 2)
One atom of each set of equivalent atoms:
Cu (0.0000, 0.0000, 0.0000)
Cu (0.0000, 0.5000, 0.5000)
Cu (0.2344, 0.4675, 0.0195)
Cu (0.4682, 0.4196, 0.3208)
Cu (0.4959, 0.7849, 0.1676)
As (0.0052, 0.3943, 0.7640)
As (0.4679, 0.7754, 0.4473)
As (0.4678, 0.8337, 0.8905)
Pb (0.9997, 0.0526, 0.3295)
O (0.1452, 0.7956, 0.2342)
O (0.1749, 0.4728, 0.6436)
O (0.2055, 0.1195, 0.1171)
O (0.2084, 0.4694, 0.1858)
O (0.2333, 0.8996, 0.4845)
O (0.2498, 0.3868, 0.8668)
O (0.3007, 0.0078, 0.8981)
O (0.3078, 0.5873, 0.4119)
O (0.3217, 0.2561, 0.4408)
O (0.3656, 0.1577, 0.6765)
O (0.3655, 0.7459, 0.7617)
O (0.3723, 0.7136, 0.0097)

Results
Spin magnetization   2.96 μB/f.u.
DOS(E_F)   5.19 states/eV/f.u.
Formation energy without anion corrections   -0.95 eV per atom
Uncorrected energy   -5.93 eV per atom
Mass density   5.9 g cm⁻³


No. 5
Compound: CuSbAs2O
Source: Alexandria
Functional: PBEsol
Structure: optimized geometry

Unit cell a=5.2502 b=5.2502 c=3.8213 alpha=90.00 beta=90.00 gamma=90.00
Space group P4/mmm (No. 123)
One atom of each set of equivalent atoms:
Cu (0.0000, 0.0000, 0.0000)
Sb (0.5000, 0.5000, 0.5000)
As (0.0000, 0.5000, 0.5000)
O (0.5000, 0.5000, 0.0000)

Results
Spin magnetization   0.00 μB/f.u.
DOS(E_F)   2.44 states/eV/f.u.
Formation energy without anion corrections   0.60 eV per atom
Uncorrected energy   -4.27 eV per atom
Mass density   5.5 g cm⁻³


No. 6
Compound: Sm2CuAs3O
Source: Alexandria
Functional: PBEsol
Structure: optimized geometry

Unit cell a=34.1964 b=3.9394 c=3.9352 alpha=90.00 beta=90.00 gamma=90.00
Space group Pnma (No. 62)
One atom of each set of equivalent atoms:
Sm (0.0336, 0.2500, 0.2499)
Sm (0.1760, 0.7500, 0.7074)
Cu (0.2500, 0.2500, 0.7070)
As (0.1066, 0.2500, 0.7554)
As (0.1072, 0.7500, 0.1912)
As (0.2058, 0.2500, 0.2070)
O (0.9999, 0.2500, 0.7495)

Results
Spin magnetization   0.00 μB/f.u.
DOS(E_F)   1.17 states/eV/f.u.
Formation energy without anion corrections   -1.49 eV per atom
Uncorrected energy   -6.50 eV per atom
Mass density   7.6 g cm⁻³


No. 7
Compound: SrCuAs2O7
Source: Alexandria
Functional: PBEsol
Structure: optimized geometry

Unit cell a=5.6208 b=8.2146 c=13.8156 alpha=90.00 beta=111.71 gamma=90.00
Space group P2_1/c (No. 14)
One atom of each set of equivalent atoms:
Sr (0.0063, 0.1584, 0.2158)
Cu (0.3219, 0.6391, 0.6204)
As (0.3313, 0.1815, 0.0035)
As (0.4040, 0.0313, 0.6555)
O (0.0937, 0.1571, 0.8874)
O (0.1547, 0.0525, 0.6935)
O (0.2796, 0.0961, 0.1077)
O (0.3146, 0.1054, 0.5270)
O (0.3240, 0.6303, 0.7663)
O (0.3549, 0.6452, 0.4828)
O (0.4904, 0.1621, 0.3471)

Results
Spin magnetization   1.00 μB/f.u.
Formation energy without anion corrections   -1.52 eV per atom
Uncorrected energy   -6.35 eV per atom
Mass density   4.6 g cm⁻³


No. 8
Compound: Tl2CuAsO4
Source: Alexandria
Functional: PBEsol
Structure: optimized geometry

Unit cell a=8.5698 b=5.4451 c=11.4026 alpha=90.00 beta=96.13 gamma=90.00
Space group P2_1/c (No. 14)
One atom of each set of equivalent atoms:
Tl (0.0036, 0.2258, 0.3875)
Tl (0.3056, 0.2380, 0.6315)
Cu (0.4897, 0.1852, 0.4075)
As (0.2862, 0.7328, 0.3752)
O (0.0977, 0.6483, 0.3273)
O (0.2994, 0.0462, 0.3449)
O (0.3164, 0.6942, 0.5273)
O (0.4231, 0.5676, 0.3094)

Results
Spin magnetization   0.00 μB/f.u.
Formation energy without anion corrections   -0.92 eV per atom
Distance to the lowest polymorph of the same formula   0.0 kJ/mol of formula units
Uncorrected energy   -5.39 eV per atom
Mass density   7.7 g cm⁻³


No. 9
Compound: TlCuAsO4
Source: Alexandria
Functional: PBEsol
Structure: optimized geometry

Unit cell a=6.7474 b=7.2220 c=17.8848 alpha=90.00 beta=92.91 gamma=90.00
Space group C2/c (No. 15)
One atom of each set of equivalent atoms:
Tl (0.0087, 0.1971, 0.4412)
Cu (0.2485, 0.0968, 0.7494)
As (0.0212, 0.3467, 0.8553)
O (0.1146, 0.1461, 0.6562)
O (0.1146, 0.4515, 0.1578)
O (0.1347, 0.3547, 0.9414)
O (0.1989, 0.3466, 0.7851)

Results
Spin magnetization   0.00 μB/f.u.
DOS(E_F)   1.29 states/eV/f.u.
Formation energy without anion corrections   -0.95 eV per atom
Uncorrected energy   -5.68 eV per atom
Mass density   6.2 g cm⁻³


No. 10
Compound: TlCu2As2O8
Source: Alexandria
Functional: PBEsol
Structure: optimized geometry

Unit cell a=6.2930 b=11.0040 c=10.1989 alpha=90.00 beta=99.32 gamma=90.00
Space group P2_1/c (No. 14)
One atom of each set of equivalent atoms:
Tl (0.2427, 0.0717, 0.9998)
Cu (0.0932, 0.5288, 0.8454)
Cu (0.4470, 0.1689, 0.3348)
As (0.1279, 0.7267, 0.2569)
As (0.3808, 0.1049, 0.6330)
O (0.0772, 0.1183, 0.2512)
O (0.1021, 0.6675, 0.6357)
O (0.1035, 0.6899, 0.8996)
O (0.1712, 0.0040, 0.6000)
O (0.3722, 0.6508, 0.2936)
O (0.3785, 0.2065, 0.5067)
O (0.3819, 0.1676, 0.7867)
O (0.3999, 0.5033, 0.8571)

Results
Spin magnetization   0.69 μB/f.u.
DOS(E_F)   3.44 states/eV/f.u.
Formation energy without anion corrections   -0.85 eV per atom
Uncorrected energy   -5.74 eV per atom
Mass density   5.8 g cm⁻³


No. 11
Compound: Tl2CuAsO4
Source: Alexandria
Functional: PBEsol
Structure: optimized geometry

Unit cell a=5.5726 b=5.4811 c=8.6706 alpha=90.00 beta=95.13 gamma=90.00
Space group P2_1 (No. 4)
One atom of each set of equivalent atoms:
Tl (0.2282, 0.0000, 0.4957)
Tl (0.2354, 0.5201, 0.8095)
Cu (0.2124, 0.9661, 0.0101)
As (0.2490, 0.5260, 0.2157)
O (0.0646, 0.0264, 0.8120)
O (0.3326, 0.8317, 0.2008)
O (0.3336, 0.4408, 0.4026)
O (0.3761, 0.3481, 0.0820)

Results
Spin magnetization   0.00 μB/f.u.
Formation energy without anion corrections   -0.91 eV per atom
Distance to the lowest polymorph of the same formula   10.8 kJ/mol of formula units
Uncorrected energy   -5.37 eV per atom
Mass density   7.7 g cm⁻³


No. 12
Compound: Zn3Cu3As4O16
Source: Alexandria
Functional: PBEsol
Structure: optimized geometry

Unit cell a=8.5120 b=5.0768 c=15.4195 alpha=90.00 beta=110.88 gamma=90.00
Space group P2_1/c (No. 14)
One atom of each set of equivalent atoms:
Zn (0.0000, 0.0000, 0.0000)
Zn (0.3026, 0.0487, 0.2848)
Cu (0.2094, 0.5062, 0.3781)
Cu (0.5000, 0.0000, 0.5000)
As (0.0375, 0.0105, 0.6490)
As (0.4136, 0.5031, 0.6018)
O (0.0200, 0.6777, 0.6314)
O (0.1003, 0.1805, 0.5736)
O (0.1544, 0.6153, 0.8458)
O (0.1925, 0.0912, 0.7556)
O (0.2427, 0.5848, 0.5056)
O (0.3951, 0.6052, 0.7012)
O (0.4265, 0.2112, 0.9103)
O (0.4931, 0.1906, 0.6050)

Results
Spin magnetization   2.97 μB/f.u.
DOS(E_F)   0.48 states/eV/f.u.
Formation energy without anion corrections   -1.08 eV per atom
Uncorrected energy   -5.78 eV per atom
Mass density   5.0 g cm⁻³